(1)
## MgGe2Ru2 (meta-GGA SCAN)

Data for MgGe2Ru2 at its PBEsol-relaxed geometry.

Summary:
The formation energy comes out at -0.328 eV per atom. The space group is P4/mbm.

abc: 2.9647 7.0863 7.0863
angles: 90.00 90.00 90.00
Sites, in units of the cell vectors:
Ru 0.0000 0.6443 0.1443
Ge 0.5000 0.3478 0.1522
Ru 0.0000 0.1443 0.3557
Mg 0.0000 0.0000 0.0000
Ge 0.5000 0.6522 0.8478
Ru 0.0000 0.8557 0.6443
Mg 0.0000 0.5000 0.5000
Ge 0.5000 0.1522 0.6522
Ru 0.0000 0.3557 0.8557
Ge 0.5000 0.8478 0.3478


(2)
## Mg3GeS (meta-GGA SCAN)

Data for Mg3GeS at its PBEsol-relaxed geometry.

Summary:
As for the uncorrected formation energy: -0.2946 eV per atom. The space group is Pm-3m.

abc: 4.7236 4.7236 4.7236
angles: 90.00 90.00 90.00
Sites, in units of the cell vectors:
S 0.0000 0.0000 0.0000
Mg 0.5000 0.0000 0.0000
Ge 0.5000 0.5000 0.5000
Mg 0.0000 0.5000 0.0000
Mg 0.0000 0.0000 0.5000


(3)
## Mg2GeS4 (meta-GGA SCAN)

Data for Mg2GeS4 at its PBEsol-relaxed geometry.

Summary:
As for the uncorrected formation energy: -1.1547 eV per atom. The space group is Pnma.

abc: 6.0019 7.4225 12.7543
angles: 90.00 90.00 90.00
Sites, in units of the cell vectors:
S 0.2531 0.0169 0.3320
Mg 0.4947 0.7500 0.7694
S 0.7531 0.9831 0.1680
Mg 0.0000 0.5000 0.0000
Ge 0.0874 0.2500 0.4106
Mg 0.5053 0.2500 0.2306
Ge 0.4126 0.2500 0.9106
S 0.7223 0.2500 0.4071
Mg 0.5000 0.0000 0.5000
Ge 0.5874 0.7500 0.0894
S 0.7552 0.7500 0.4305
S 0.2552 0.2500 0.0695
S 0.7469 0.5169 0.6680
Mg 0.0000 0.0000 0.0000
S 0.2448 0.2500 0.5695
S 0.2777 0.7500 0.5929
S 0.2469 0.4831 0.8320
S 0.2531 0.4831 0.3320
S 0.7448 0.7500 0.9305
S 0.7531 0.5169 0.1680
Mg 0.9947 0.2500 0.7306
S 0.2469 0.0169 0.8320
Ge 0.9126 0.7500 0.5894
S 0.7469 0.9831 0.6680
S 0.7777 0.2500 0.9071
Mg 0.5000 0.5000 0.5000
Mg 0.0053 0.7500 0.2694
S 0.2223 0.7500 0.0929


(4)
## MgGe3S (meta-GGA SCAN)

Data for MgGe3S at its PBEsol-relaxed geometry.

Summary:
As for the uncorrected formation energy: 0.9436 eV per atom. The space group is Pm-3m.

abc: 4.9177 4.9177 4.9177
angles: 90.00 90.00 90.00
Sites, in units of the cell vectors:
Ge 0.0000 0.0000 0.5000
S 0.5000 0.5000 0.5000
Ge 0.0000 0.5000 0.0000
Mg 0.0000 0.0000 0.0000
Ge 0.5000 0.0000 0.0000


(5)
## MgTcGe2S (meta-GGA SCAN)

Data for MgTcGe2S at its PBEsol-relaxed geometry.

Summary:
As for the uncorrected formation energy: 0.3525 eV per atom. The space group is P4/mmm.

abc: 4.6333 4.6333 5.1407
angles: 90.00 90.00 90.00
Sites, in units of the cell vectors:
Ge 0.0000 0.5000 0.0000
Mg 0.0000 0.0000 0.5000
S 0.5000 0.5000 0.5000
Ge 0.5000 0.0000 0.0000
Tc 0.0000 0.0000 0.0000


(6)
## Y6MgGe2S14 (meta-GGA SCAN)

Data for Y6MgGe2S14 at its PBEsol-relaxed geometry.

Summary:
As for the uncorrected formation energy: -1.8221 eV per atom. The space group is P3.

abc: 5.6419 9.7711 9.7711
angles: 120.00 90.00 90.00
Sites, in units of the cell vectors:
Y 0.7551 0.2259 0.3573
S 0.7172 0.8424 0.7463
S 0.2330 0.0937 0.8401
S 0.4992 0.4837 0.5798
S 0.4992 0.4202 0.9039
S 0.2330 0.7464 0.9063
S 0.7172 0.9039 0.1576
Y 0.2489 0.8688 0.2272
Mg 0.4771 0.0000 0.0000
S 0.4992 0.0961 0.5163
S 0.4437 0.6667 0.3333
S 0.9512 0.3333 0.6667
Ge 0.8289 0.6667 0.3333
S 0.9931 0.5162 0.4197
Y 0.2489 0.7728 0.6416
Y 0.2489 0.3584 0.1312
Ge 0.3375 0.3333 0.6667
Y 0.7551 0.1313 0.7741
S 0.2330 0.1599 0.2536
S 0.9931 0.5803 0.0965
S 0.9931 0.9035 0.4838
Y 0.7551 0.6427 0.8687
S 0.7172 0.2537 0.0961


(7)
## MgSiGeSb2 (meta-GGA SCAN)

Data for MgSiGeSb2 at its PBEsol-relaxed geometry.

Summary:
As for the uncorrected formation energy: 1.0281 eV per atom. The space group is P4/mmm.

abc: 4.8171 5.2846 5.2846
angles: 90.00 90.00 90.00
Sites, in units of the cell vectors:
Sb 0.0000 0.5000 0.0000
Si 0.5000 0.5000 0.5000
Mg 0.0000 0.0000 0.0000
Ge 0.5000 0.0000 0.0000
Sb 0.0000 0.0000 0.5000


(8)
## MgTiGeSe2 (meta-GGA SCAN)

Data for MgTiGeSe2 at its PBEsol-relaxed geometry.

Summary:
As for the uncorrected formation energy: 0.6109 eV per atom. The space group is P4/mmm.

abc: 4.8102 4.8102 5.1564
angles: 90.00 90.00 90.00
Site moments in Bohr magnetons follow the coordinates.
Sites, in units of the cell vectors:
Se 0.0000 0.5000 0.0000  0.03
Se 0.5000 0.0000 0.0000  0.03
Mg 0.0000 0.0000 0.0000  0.05
Ge 0.5000 0.5000 0.5000  -0.09
Ti 0.0000 0.0000 0.5000  1.91


Q: Which DOS(E_F) values were calculated for the entries above? A: 1.63; 0.36; 0.00; 2.00; 4.13; 0.00; 2.86; 3.57, in states/eV/f.u..
Q: Which total magnetization values were calculated for the entries above? A: 0.0; 0.0; 0.0; 0.0; 0.0; 0.0; 0.0; 2.4, in μB per formula unit.